VASP calculation (PBE-GGA) on an optimized crystal structure of CeAgP2Se6.

abc: 7.4896 6.6834 11.9227
angles: 57.14 90.00 90.00
Last column: magnetic moment on the atom in μB.
Sites, in units of the cell vectors:
Ag (0.3303, 0.3100, 0.7569)  0.00
Se (0.9521, 0.2011, 0.4546)  -0.01
P (0.3654, 0.6298, 0.9367)  0.00
Ce (0.1296, 0.7072, 0.2441)  0.97
Se (0.5556, 0.3968, 0.9184)  -0.01
Se (0.7377, 0.1191, 0.7584)  -0.01
Se (0.9297, 0.6013, 0.0557)  -0.01
Se (0.0703, 0.6013, 0.5557)  -0.01
Se (0.5349, 0.7496, 0.5641)  -0.01
Se (0.2623, 0.1191, 0.2584)  -0.01
Se (0.0479, 0.2011, 0.9546)  -0.01
Se (0.2402, 0.9103, 0.7447)  -0.01
Se (0.4444, 0.3968, 0.4184)  -0.01
P (0.8533, 0.3702, 0.5598)  0.00
Ag (0.6697, 0.3100, 0.2569)  0.00
P (0.6346, 0.6298, 0.4367)  0.00
Se (0.7598, 0.9103, 0.2447)  -0.01
P (0.1467, 0.3702, 0.0598)  0.00
Se (0.4651, 0.7496, 0.0641)  -0.01
Ce (0.8704, 0.7072, 0.7441)  0.97

The calculation puts the formation energy (no corrections) at -5.06 eV/f.u. The calculation puts the total energy at -4.56 eV/atom.